(1)
# PBE MnCo2AsN, optimized geometry
# ρ = 7.65 g cm⁻³
# Total DFT energy (no corrections) = -36.5 eV for the cell shown
data_MnCo2AsN
_cell_length_a 3.793
_cell_length_b 3.793
_cell_length_c 3.951
_cell_angle_alpha 90.00
_cell_angle_beta 90.00
_cell_angle_gamma 90.00
_symmetry_space_group_name_H-M 'P 4/m m m'
_symmetry_Int_Tables_number 123
_symmetry_space_group_name_Hall '-P 4 2'
loop_
_atom_site_label
_atom_site_type_symbol
_atom_site_fract_x
_atom_site_fract_y
_atom_site_fract_z
_atom_site_occupancy
Mn1 Mn 0.000 0.000 0.000 1
Co1 Co 0.000 0.500 0.500 1
As1 As 0.500 0.500 0.000 1
N1 N 0.000 0.000 0.500 1

=====

(2)
# PBE NaMnCoAs2, optimized geometry
# ρ = 5.20 g cm⁻³
# ΔE_f = -0.3229 eV/atom
data_NaMnCoAs2
_cell_length_a 3.834
_cell_length_b 3.834
_cell_length_c 12.446
_cell_angle_alpha 90.00
_cell_angle_beta 90.00
_cell_angle_gamma 90.00
_symmetry_space_group_name_H-M 'I -4 m 2'
_symmetry_Int_Tables_number 119
_symmetry_space_group_name_Hall 'I -4 -2'
loop_
_atom_site_label
_atom_site_type_symbol
_atom_site_fract_x
_atom_site_fract_y
_atom_site_fract_z
_atom_site_occupancy
Na1 Na 0.000 0.000 0.000 1
Mn1 Mn 0.000 0.500 0.750 1
Co1 Co 0.000 0.500 0.250 1
As1 As 0.000 0.000 0.362 1

=====

The highest ρ belongs to which entry?
MnCo2AsN

=====

ρ of number 1 (MnCo2AsN)?
7.65 g cm⁻³

=====

Which of these has the lowest ρ?
NaMnCoAs2

=====

Which value of ρ does entry 2 give?
5.20 g cm⁻³